First-principles (SCAN) data for a crystal of ZnCuSi2 relaxed with PBEsol, as listed in Alexandria via LeMat-Bulk.

Cell: 2.6711 4.6005 4.6219 Å, 100.07 90.00 106.88°
Last column: nearest neighbours and their distance in Å.
Atoms (fractional coordinates):
Si 0.7396 0.4792 0.7401  3 Cu 2.57-2.72, 3 Zn 2.61-2.73, 6 Si 2.62-2.73
Zn 0.5000 0.0000 0.0000  6 Si 2.61-2.73, 4 Cu 2.67, 2 Zn 2.67
Si 0.2604 0.5208 0.2599  3 Cu 2.57-2.72, 3 Zn 2.61-2.73, 6 Si 2.62-2.73
Cu 0.0000 0.0000 0.5000  6 Si 2.57-2.72, 4 Zn 2.67, 2 Cu 2.67

Volume, Å³/atom: 13.36
Formation energy from raw total energies, kJ/mol of atoms: 29.61
Magnetic moment, μB per cell: 0.0
DFT total energy, eV per atom: -11.88